# Na2UBr5 PBE optimized geometry
# E above lowest polymorph ... 84 meV/atom
# Calculated density ... 2.5 g cm⁻³
# E_form (uncorrected) ... -125 kJ/mol of atoms
# Size of the total moment ... 0.375 μB per atom
data_Na2UBr5
_chemical_formula_sum 'Na4 U2 Br10'
_cell_length_a 15.663
_cell_length_b 8.131
_cell_length_c 8.106
_cell_angle_alpha 90.00
_cell_angle_beta 120.40
_cell_angle_gamma 90.00
_space_group_name_H-M_alt 'C 1 m 1'
_space_group_IT_number 8
loop_
_space_group_symop_operation_xyz
'x,y,z'
'x,-y,z'
'x+1/2,y+1/2,z'
'x+1/2,-y+1/2,z'
loop_
_atom_site_label
_atom_site_fract_x
_atom_site_fract_y
_atom_site_fract_z
Na1 0.000 0.000 0.000
Na2 0.000 0.500 0.498
U1 0.398 0.000 0.896
Br1 0.196 0.000 0.693
Br2 0.459 0.242 0.718
Br3 0.461 0.239 0.200

=====

# Na6UBr12 PBE optimized geometry
# Calculated density ... 3.4 g cm⁻³
# E_form (uncorrected) ... -128 kJ/mol of atoms
# Size of the total moment ... 0.000 μB per atom
data_Na6UBr12
_chemical_formula_sum 'Na18 U3 Br36'
_cell_length_a 13.1119
_cell_length_b 13.1119
_cell_length_c 13.2691
_cell_angle_alpha 90.00
_cell_angle_beta 90.00
_cell_angle_gamma 120.00
_space_group_name_H-M_alt 'R -3'
_space_group_IT_number 148
_space_group_name_Hall '-R 3'
loop_
_atom_site_label
_atom_site_fract_x
_atom_site_fract_y
_atom_site_fract_z
Na1 0.0036 0.2239 0.3941
U1 0.0000 0.0000 0.0000
Br1 0.0027 0.2229 0.6145
Br2 0.0350 0.8573 0.8832

=====

# Na3UBr7 PBE optimized geometry
# Calculated density ... 3.7 g cm⁻³
# E_form (uncorrected) ... -131 kJ/mol of atoms
# Size of the total moment ... 0.182 μB per atom
data_Na3UBr7
_chemical_formula_sum 'Na12 U4 Br28'
_cell_length_a 9.682
_cell_length_b 14.698
_cell_length_c 10.879
_cell_angle_alpha 90.00
_cell_angle_beta 90.00
_cell_angle_gamma 90.00
_space_group_name_H-M_alt 'C m c m'
_space_group_IT_number 63
_space_group_name_Hall '-C 2c 2'
loop_
_atom_site_label
_atom_site_fract_x
_atom_site_fract_y
_atom_site_fract_z
Na1 0.000 0.000 0.000
Na2 0.250 0.224 0.250
U1 0.000 0.500 0.000
Br1 0.000 0.114 0.250
Br2 0.000 0.176 0.750
Br3 0.000 0.440 0.750
Br4 0.203 0.373 0.039

=====

# Na2UBr6 PBE optimized geometry
# E above lowest polymorph ... 0 meV/atom
# Calculated density ... 4.0 g cm⁻³
# E_form (uncorrected) ... -137 kJ/mol of atoms
# Size of the total moment ... 0.222 μB per atom
data_Na2UBr6
_chemical_formula_sum 'Na4 U2 Br12'
_cell_length_a 6.982
_cell_length_b 6.982
_cell_length_c 13.058
_cell_angle_alpha 90.00
_cell_angle_beta 90.00
_cell_angle_gamma 90.00
_space_group_name_H-M_alt 'P 42/m n m'
_space_group_IT_number 136
_space_group_name_Hall '-P 4n 2n'
loop_
_atom_site_label
_atom_site_fract_x
_atom_site_fract_y
_atom_site_fract_z
Na1 0.000 0.000 0.165
U1 0.000 0.000 0.500
Br1 0.193 0.193 0.344
Br2 0.215 0.215 0.000

=====

# Na2UBr6 PBE optimized geometry
# E above lowest polymorph ... 6 meV/atom
# Calculated density ... 4.1 g cm⁻³
# E_form (uncorrected) ... -137 kJ/mol of atoms
# Size of the total moment ... 0.222 μB per atom
data_Na2UBr6
_chemical_formula_sum 'Na6 U3 Br18'
_cell_length_a 12.6905
_cell_length_b 12.6905
_cell_length_c 6.6781
_cell_angle_alpha 90.00
_cell_angle_beta 90.00
_cell_angle_gamma 120.00
_space_group_name_H-M_alt 'P -3 m 1'
_space_group_IT_number 164
_space_group_name_Hall '-P 3 2"'
loop_
_atom_site_label
_atom_site_fract_x
_atom_site_fract_y
_atom_site_fract_z
Na1 0.0000 0.3382 0.0000
U1 0.0000 0.0000 0.0000
U2 0.3333 0.6667 0.4975
Br1 0.1050 0.2100 0.2354
Br2 0.1245 0.5623 0.2559
Br3 0.2286 0.4572 0.7350

=====

# NaVBr2 PBE optimized geometry
# E above lowest polymorph ... 198 meV/atom
# Calculated density ... 4.2 g cm⁻³
# E_form (uncorrected) ... -34 kJ/mol of atoms
# Size of the total moment ... 0.999 μB per atom
data_NaVBr2
_chemical_formula_sum 'Na4 V4 Br8'
_cell_length_a 7.159
_cell_length_b 7.159
_cell_length_c 7.159
_cell_angle_alpha 90.00
_cell_angle_beta 90.00
_cell_angle_gamma 90.00
_space_group_name_H-M_alt 'F m -3 m'
_space_group_IT_number 225
_space_group_name_Hall '-F 4 2 3'
loop_
_atom_site_label
_atom_site_fract_x
_atom_site_fract_y
_atom_site_fract_z
Na1 0.000 0.000 0.000
V1 0.000 0.000 0.500
Br1 0.250 0.250 0.250

=====

# NaV3Br PBE optimized geometry
# E above lowest polymorph ... 0 meV/atom
# Calculated density ... 4.3 g cm⁻³
# E_form (uncorrected) ... 115 kJ/mol of atoms
# Size of the total moment ... 0.883 μB per atom
data_NaV3Br
_chemical_formula_sum 'Na1 V3 Br1'
_cell_length_a 4.639
_cell_length_b 4.639
_cell_length_c 4.639
_cell_angle_alpha 90.00
_cell_angle_beta 90.00
_cell_angle_gamma 90.00
_space_group_name_H-M_alt 'P m -3 m'
_space_group_IT_number 221
_space_group_name_Hall '-P 4 2 3'
loop_
_atom_site_label
_atom_site_fract_x
_atom_site_fract_y
_atom_site_fract_z
Na1 0.000 0.000 0.000
V1 0.000 0.500 0.500
Br1 0.500 0.500 0.500

=====

# NaVBr2 PBE optimized geometry
# E above lowest polymorph ... 38 meV/atom
# Calculated density ... 3.1 g cm⁻³
# E_form (uncorrected) ... -50 kJ/mol of atoms
# Size of the total moment ... 0.994 μB per atom
data_NaVBr2
_chemical_formula_sum 'Na4 V4 Br8'
_cell_length_a 6.243
_cell_length_b 6.243
_cell_length_c 13.037
_cell_angle_alpha 90.00
_cell_angle_beta 90.00
_cell_angle_gamma 90.00
_space_group_name_H-M_alt 'I -4 2 d'
_space_group_IT_number 122
_space_group_name_Hall 'I -4 2bw'
loop_
_atom_site_label
_atom_site_fract_x
_atom_site_fract_y
_atom_site_fract_z
Na1 0.000 0.000 0.000
V1 0.000 0.000 0.500
Br1 0.215 0.250 0.625

=====

# Na2VBr6 PBE optimized geometry
# E above lowest polymorph ... 31 meV/atom
# Calculated density ... 3.4 g cm⁻³
# E_form (uncorrected) ... -101 kJ/mol of atoms
# Size of the total moment ... 0.111 μB per atom
data_Na2VBr6
_chemical_formula_sum 'Na4 V2 Br12'
_cell_length_a 6.671
_cell_length_b 6.671
_cell_length_c 12.589
_cell_angle_alpha 90.00
_cell_angle_beta 90.00
_cell_angle_gamma 90.00
_space_group_name_H-M_alt 'P 42/m n m'
_space_group_IT_number 136
_space_group_name_Hall '-P 4n 2n'
loop_
_atom_site_label
_atom_site_fract_x
_atom_site_fract_y
_atom_site_fract_z
Na1 0.000 0.000 0.168
V1 0.000 0.000 0.500
Br1 0.185 0.185 0.357
Br2 0.236 0.236 0.000

=====

# NaV3Br PBE optimized geometry
# E above lowest polymorph ... 845 meV/atom
# Calculated density ... 3.1 g cm⁻³
# E_form (uncorrected) ... 196 kJ/mol of atoms
# Size of the total moment ... 2.467 μB per atom
data_NaV3Br
_chemical_formula_sum 'Na1 V3 Br1'
_cell_length_a 5.163
_cell_length_b 5.163
_cell_length_c 5.163
_cell_angle_alpha 90.00
_cell_angle_beta 90.00
_cell_angle_gamma 90.00
_space_group_name_H-M_alt 'P m -3 m'
_space_group_IT_number 221
_space_group_name_Hall '-P 4 2 3'
loop_
_atom_site_label
_atom_site_fract_x
_atom_site_fract_y
_atom_site_fract_z
Na1 0.000 0.000 0.000
V1 0.000 0.000 0.500
Br1 0.500 0.500 0.500

=====

# Na2VBr6 PBE optimized geometry
# E above lowest polymorph ... 0 meV/atom
# Calculated density ... 3.7 g cm⁻³
# E_form (uncorrected) ... -104 kJ/mol of atoms
# Size of the total moment ... 0.111 μB per atom
data_Na2VBr6
_chemical_formula_sum 'Na4 V2 Br12'
_cell_length_a 7.012
_cell_length_b 7.359
_cell_length_c 12.070
_cell_angle_alpha 90.00
_cell_angle_beta 122.68
_cell_angle_gamma 90.00
_space_group_name_H-M_alt 'P 1 21/c 1'
_space_group_IT_number 14
loop_
_space_group_symop_operation_xyz
'x,y,z'
'-x,-y,-z'
'-x,y+1/2,-z+1/2'
'x,-y+1/2,z+1/2'
loop_
_atom_site_label
_atom_site_fract_x
_atom_site_fract_y
_atom_site_fract_z
Na1 0.191 0.101 0.228
V1 0.500 0.000 0.000
Br1 0.152 0.182 0.941
Br2 0.280 0.713 0.944
Br3 0.397 0.027 0.767

=====

# NaVBr2 PBE optimized geometry
# E above lowest polymorph ... 0 meV/atom
# Calculated density ... 3.1 g cm⁻³
# E_form (uncorrected) ... -53 kJ/mol of atoms
# Size of the total moment ... 0.747 μB per atom
data_NaVBr2
_chemical_formula_sum 'Na3 V3 Br6'
_cell_length_a 3.8477
_cell_length_b 3.8477
_cell_length_c 29.6768
_cell_angle_alpha 90.00
_cell_angle_beta 90.00
_cell_angle_gamma 120.00
_space_group_name_H-M_alt 'R -3 m'
_space_group_IT_number 166
_space_group_name_Hall '-R 3 2"'
loop_
_atom_site_label
_atom_site_fract_x
_atom_site_fract_y
_atom_site_fract_z
Na1 0.0000 0.0000 0.0000
V1 0.0000 0.0000 0.5000
Br1 0.0000 0.0000 0.1176

=====

# Na2VZnBr PBE optimized geometry
# Calculated density ... 2.3 g cm⁻³
# E_form (uncorrected) ... 47 kJ/mol of atoms
# Size of the total moment ... 0.987 μB per atom
data_Na2VZnBr
_chemical_formula_sum 'Na2 V1 Zn1 Br1'
_cell_length_a 5.944
_cell_length_b 5.944
_cell_length_c 5.013
_cell_angle_alpha 90.00
_cell_angle_beta 90.00
_cell_angle_gamma 90.00
_space_group_name_H-M_alt 'P 4/m m m'
_space_group_IT_number 123
_space_group_name_Hall '-P 4 2'
loop_
_atom_site_label
_atom_site_fract_x
_atom_site_fract_y
_atom_site_fract_z
Na1 0.000 0.500 0.000
V1 0.000 0.000 0.000
Zn1 0.000 0.000 0.500
Br1 0.500 0.500 0.500

=====

# Na2WBr6 PBE optimized geometry
# Calculated density ... 4.3 g cm⁻³
# E_form (uncorrected) ... -87 kJ/mol of atoms
# Size of the total moment ... 0.222 μB per atom
data_Na2WBr6
_chemical_formula_sum 'Na4 W2 Br12'
_cell_length_a 7.091
_cell_length_b 7.457
_cell_length_c 12.158
_cell_angle_alpha 90.00
_cell_angle_beta 122.12
_cell_angle_gamma 90.00
_space_group_name_H-M_alt 'P 1 21/c 1'
_space_group_IT_number 14
loop_
_space_group_symop_operation_xyz
'x,y,z'
'-x,-y,-z'
'-x,y+1/2,-z+1/2'
'x,-y+1/2,z+1/2'
loop_
_atom_site_label
_atom_site_fract_x
_atom_site_fract_y
_atom_site_fract_z
Na1 0.182 0.106 0.221
W1 0.500 0.000 0.000
Br1 0.149 0.184 0.939
Br2 0.276 0.711 0.940
Br3 0.405 0.030 0.767

=====

# NaWBr2 PBE optimized geometry
# E above lowest polymorph ... 82 meV/atom
# Calculated density ... 5.8 g cm⁻³
# E_form (uncorrected) ... 26 kJ/mol of atoms
# Size of the total moment ... 0.000 μB per atom
data_NaWBr2
_chemical_formula_sum 'Na3 W3 Br6'
_cell_length_a 3.3299
_cell_length_b 3.3299
_cell_length_c 32.7029
_cell_angle_alpha 90.00
_cell_angle_beta 90.00
_cell_angle_gamma 120.00
_space_group_name_H-M_alt 'R -3 m'
_space_group_IT_number 166
_space_group_name_Hall '-R 3 2"'
loop_
_atom_site_label
_atom_site_fract_x
_atom_site_fract_y
_atom_site_fract_z
Na1 0.0000 0.0000 0.0000
W1 0.0000 0.0000 0.5000
Br1 0.0000 0.0000 0.1109

=====

# NaWBr2 PBE optimized geometry
# E above lowest polymorph ... 465 meV/atom
# Calculated density ... 7.9 g cm⁻³
# E_form (uncorrected) ... 63 kJ/mol of atoms
# Size of the total moment ... 0.246 μB per atom
data_NaWBr2
_chemical_formula_sum 'Na4 W4 Br8'
_cell_length_a 6.750
_cell_length_b 6.750
_cell_length_c 6.750
_cell_angle_alpha 90.00
_cell_angle_beta 90.00
_cell_angle_gamma 90.00
_space_group_name_H-M_alt 'F m -3 m'
_space_group_IT_number 225
_space_group_name_Hall '-F 4 2 3'
loop_
_atom_site_label
_atom_site_fract_x
_atom_site_fract_y
_atom_site_fract_z
Na1 0.000 0.000 0.000
W1 0.000 0.000 0.500
Br1 0.250 0.250 0.250

=====

# NaW2Br PBE optimized geometry
# E above lowest polymorph ... 1129 meV/atom
# Calculated density ... 11.3 g cm⁻³
# E_form (uncorrected) ... 201 kJ/mol of atoms
# Size of the total moment ... 0.310 μB per atom
data_NaW2Br
_chemical_formula_sum 'Na4 W8 Br4'
_cell_length_a 6.517
_cell_length_b 6.517
_cell_length_c 6.517
_cell_angle_alpha 90.00
_cell_angle_beta 90.00
_cell_angle_gamma 90.00
_space_group_name_H-M_alt 'F m -3 m'
_space_group_IT_number 225
_space_group_name_Hall '-F 4 2 3'
loop_
_atom_site_label
_atom_site_fract_x
_atom_site_fract_y
_atom_site_fract_z
Na1 0.000 0.000 0.000
W1 0.250 0.250 0.250
Br1 0.000 0.000 0.500

=====

# Na2WBr7 PBE optimized geometry
# Calculated density ... 3.5 g cm⁻³
# E_form (uncorrected) ... -72 kJ/mol of atoms
# Size of the total moment ... 0.099 μB per atom
data_Na2WBr7
_chemical_formula_sum 'Na8 W4 Br28'
_cell_length_a 18.104
_cell_length_b 8.444
_cell_length_c 13.068
_cell_angle_alpha 90.00
_cell_angle_beta 130.59
_cell_angle_gamma 90.00
_space_group_name_H-M_alt 'C 1 2/c 1'
_space_group_IT_number 15
loop_
_space_group_symop_operation_xyz
'x,y,z'
'-x,-y,-z'
'-x,y,-z+1/2'
'x,-y,z+1/2'
'x+1/2,y+1/2,z'
'-x+1/2,-y+1/2,-z'
'-x+1/2,y+1/2,-z+1/2'
'x+1/2,-y+1/2,z+1/2'
loop_
_atom_site_label
_atom_site_fract_x
_atom_site_fract_y
_atom_site_fract_z
Na1 0.019 0.250 0.057
W1 0.000 0.171 0.750
Br1 0.000 0.148 0.250
Br2 0.058 0.426 0.696
Br3 0.111 0.070 0.695
Br4 0.150 0.169 0.992

=====

# NaWBr4 PBE optimized geometry
# Calculated density ... 4.4 g cm⁻³
# E_form (uncorrected) ... -59 kJ/mol of atoms
# Size of the total moment ... 0.501 μB per atom
data_NaWBr4
_chemical_formula_sum 'Na4 W4 Br16'
_cell_length_a 9.746
_cell_length_b 11.398
_cell_length_c 7.900
_cell_angle_alpha 90.00
_cell_angle_beta 114.37
_cell_angle_gamma 90.00
_space_group_name_H-M_alt 'C 1 2/c 1'
_space_group_IT_number 15
loop_
_space_group_symop_operation_xyz
'x,y,z'
'-x,-y,-z'
'-x,y,-z+1/2'
'x,-y,z+1/2'
'x+1/2,y+1/2,z'
'-x+1/2,-y+1/2,-z'
'-x+1/2,y+1/2,-z+1/2'
'x+1/2,-y+1/2,z+1/2'
loop_
_atom_site_label
_atom_site_fract_x
_atom_site_fract_y
_atom_site_fract_z
Na1 0.000 0.095 0.250
W1 0.000 0.497 0.750
Br1 0.002 0.346 0.495
Br2 0.209 0.005 0.102

=====

# NaW3Br PBE optimized geometry
# E above lowest polymorph ... 0 meV/atom
# Calculated density ... 10.7 g cm⁻³
# E_form (uncorrected) ... 215 kJ/mol of atoms
# Size of the total moment ... 0.000 μB per atom
data_NaW3Br
_chemical_formula_sum 'Na1 W3 Br1'
_cell_length_a 4.672
_cell_length_b 4.672
_cell_length_c 4.672
_cell_angle_alpha 90.00
_cell_angle_beta 90.00
_cell_angle_gamma 90.00
_space_group_name_H-M_alt 'P m -3 m'
_space_group_IT_number 221
_space_group_name_Hall '-P 4 2 3'
loop_
_atom_site_label
_atom_site_fract_x
_atom_site_fract_y
_atom_site_fract_z
Na1 0.000 0.000 0.000
W1 0.000 0.500 0.500
Br1 0.500 0.500 0.500